No. 1
VASP calculation (PBE) on an optimized crystal structure of NbFePt4.

Cell: 4.461 4.461 5.594 Å, 91.25 91.25 103.17°
Element x y z (fractional)
Nb1 0.000 0.000 0.000
Fe1 0.500 0.500 0.500
Pt1 0.004 0.495 0.743
Pt2 0.495 0.004 0.743
Pt3 0.505 0.996 0.257
Pt4 0.996 0.505 0.257

Magnetic moment in μB per cell: 3.9
Polymorph energy (0 for the lowest one) in meV per atom: 267
ΔE_f in meV per atom: -194
Symmetry: C2/m, No. 12

=====

No. 2
VASP calculation (PBE) on an optimized crystal structure of CsAsHCl.

Cell: 3.776 3.820 8.526 Å, 90.00 102.43 90.00°
Element x y z (fractional)
Cs1 0.000 0.000 0.000
As1 0.319 0.500 0.627
H1 0.237 0.500 0.442
Cl1 0.603 0.500 0.212

Magnetic moment in μB per cell: 0.0
Polymorph energy (0 for the lowest one) in meV per atom: 212
Symmetry: Pm, No. 6

=====

No. 3
VASP calculation (PBE) on an optimized crystal structure of Er4MgRh2.

Cell: 7.256 7.306 7.604 Å, 105.58 104.63 94.95°
Element x y z (fractional)
Er1 0.000 0.000 0.000
Er2 0.002 0.015 0.494
Er3 0.442 0.457 0.442
Er4 0.516 0.511 0.970
Er5 0.522 0.004 0.633
Er6 0.535 0.026 0.143
Er7 0.898 0.477 0.347
Er8 0.995 0.416 0.856
Mg1 0.226 0.747 0.737
Mg2 0.241 0.739 0.235
Rh1 0.270 0.153 0.862
Rh2 0.642 0.752 0.343
Rh3 0.725 0.249 0.514
Rh4 0.739 0.235 0.984

Magnetic moment in μB per cell: 0.0
ΔE_f in meV per atom: -453
Symmetry: P1, No. 1

=====

No. 4
VASP calculation (PBE) on an optimized crystal structure of LiPu2Cl4.

Cell: 7.040 6.560 7.353 Å, 90.00 103.82 90.00°
Element x y z (fractional)
Li1 0.196 0.250 0.284
Li2 0.804 0.750 0.716
Pu1 0.065 0.250 0.761
Pu2 0.435 0.750 0.241
Pu3 0.565 0.250 0.759
Pu4 0.935 0.750 0.239
Cl1 0.108 0.750 0.914
Cl2 0.251 0.504 0.506
Cl3 0.251 0.996 0.506
Cl4 0.400 0.250 0.086
Cl5 0.600 0.750 0.914
Cl6 0.749 0.004 0.494
Cl7 0.749 0.496 0.494
Cl8 0.892 0.250 0.086

Magnetic moment in μB per cell: 25.9
Raw formation energy in eV per atom: -1.4342
Symmetry: P2_1/m, No. 11

=====

No. 5
VASP calculation (PBE) on an optimized crystal structure of HfSi2Ag.

Cell: 4.613 4.613 4.613 Å, 60.00 60.00 60.00°
Element x y z (fractional)
Hf1 0.000 0.000 0.000
Si1 0.250 0.250 0.250
Si2 0.750 0.750 0.750
Ag1 0.500 0.500 0.500

Magnetic moment in μB per cell: 0.0
Raw formation energy in eV per atom: 0.1570
Symmetry: Fm-3m, No. 225

=====

No. 6
VASP calculation (PBE) on an optimized crystal structure of Be4VAu5.

Cell: 2.959 2.959 15.603 Å, 90.00 90.00 90.00°
Element x y z (fractional)
Be1 0.000 0.000 0.094
Be2 0.000 0.000 0.285
Be3 0.000 0.000 0.715
Be4 0.000 0.000 0.906
V1 0.000 0.000 0.500
Au1 0.500 0.500 0.000
Au2 0.500 0.500 0.191
Au3 0.500 0.500 0.379
Au4 0.500 0.500 0.621
Au5 0.500 0.500 0.809

Magnetic moment in μB per cell: 1.6
ΔE_f in meV per atom: -74
Symmetry: P4/mmm, No. 123

=====

No. 7
VASP calculation (PBE) on an optimized crystal structure of YbThRh2.

Cell: 4.931 4.931 4.931 Å, 60.00 60.00 60.00°
Element x y z (fractional)
Yb1 0.000 0.000 0.000
Th1 0.500 0.500 0.500
Rh1 0.250 0.250 0.250
Rh2 0.750 0.750 0.750

Magnetic moment in μB per cell: 0.2
ΔE_f in meV per atom: -748
Symmetry: Fm-3m, No. 225

=====

No. 8
VASP calculation (PBE) on an optimized crystal structure of HfTi2Al2.

Cell: 7.444 7.444 3.191 Å, 90.00 90.00 90.00°
Element x y z (fractional)
Hf1 0.000 0.000 0.000
Hf2 0.500 0.500 0.000
Ti1 0.176 0.324 0.500
Ti2 0.324 0.824 0.500
Ti3 0.676 0.176 0.500
Ti4 0.824 0.676 0.500
Al1 0.122 0.622 0.000
Al2 0.378 0.122 0.000
Al3 0.622 0.878 0.000
Al4 0.878 0.378 0.000

Magnetic moment in μB per cell: 0.0
Polymorph energy (0 for the lowest one) in meV per atom: 0
ΔE_f in meV per atom: -312
Symmetry: P4/mbm, No. 127